Material: La3Sm6Er2Sc
Method: DFT, PBE
State: relaxed

abc: 6.2554 6.2554 11.9463
angles: 95.02 95.02 120.05
With the nearest neighbours (Å) after each atom.
Element x y z (fractional)
La1 0.0000 0.0000 0.0000  6 La 3.61, 6 Sm 3.69-3.71
La2 0.3332 0.6668 0.0000  6 La 3.61-3.62, 6 Sm 3.69-3.71
La3 0.6668 0.3332 0.0000  6 La 3.61-3.62, 6 Sm 3.69-3.71
Sm1 0.0901 0.4203 0.2598  1 Sc 3.50, 2 Er 3.52, 6 Sm 3.58-3.63, 3 La 3.69-3.71
Sm2 0.2494 0.2494 0.7405  1 Sc 3.51, 2 Er 3.52, 6 Sm 3.58-3.63, 3 La 3.69-3.71
Sm3 0.4203 0.0901 0.2598  1 Sc 3.50, 2 Er 3.52, 6 Sm 3.58-3.63, 3 La 3.69-3.71
Sm4 0.5797 0.9099 0.7402  1 Sc 3.50, 2 Er 3.52, 6 Sm 3.58-3.63, 3 La 3.69-3.71
Sm5 0.7506 0.7506 0.2595  1 Sc 3.51, 2 Er 3.52, 6 Sm 3.58-3.63, 3 La 3.69-3.71
Sm6 0.9099 0.5797 0.7402  1 Sc 3.50, 2 Er 3.52, 6 Sm 3.58-3.63, 3 La 3.69-3.71
Er1 0.1665 0.8335 0.5000  6 Sm 3.52, 3 Er 3.61, 3 Sc 3.61
Er2 0.8335 0.1665 0.5000  6 Sm 3.52, 3 Er 3.61, 3 Sc 3.61
Sc1 0.5000 0.5000 0.5000  6 Sm 3.50-3.51, 6 Er 3.61

Computed properties:
space group: C2/m (12)
energy of formation: 0.44 eV per formula unit
density: 7.079 g/cm3
spin magnetization: 0.000 μB per atom

=====

Material: Al2Sn2Se5
Method: DFT, PBE
State: relaxed

abc: 7.9461 7.9461 10.0833
angles: 116.95 116.95 29.38
With the nearest neighbours (Å) after each atom.
Element x y z (fractional)
Al1 0.2182 0.2182 0.0981  4 Se 2.32-2.52
Al2 0.7818 0.7818 0.9019  4 Se 2.32-2.52
Sn1 0.4052 0.4052 0.5888  5 Se 2.82-3.15
Sn2 0.5948 0.5948 0.4112  5 Se 2.82-3.15
Se1 0.0000 0.0000 0.5000  4 Sn 2.86
Se2 0.2203 0.2203 0.3295  1 Al 2.32
Se3 0.3651 0.3651 0.0603  3 Al 2.46-2.52
Se4 0.6349 0.6349 0.9397  3 Al 2.46-2.52
Se5 0.7797 0.7797 0.6705  1 Al 2.32

Computed properties:
space group: C2/m (12)
density: 4.130 g/cm3
formation energy (no corrections): -585.5 meV/atom
spin magnetization: 0.000 μB per atom

=====

Material: Ho6CoBi
Method: DFT, PBE
State: relaxed

abc: 6.6807 6.6970 7.6359
angles: 64.07 64.19 60.08
With the nearest neighbours (Å) after each atom.
Element x y z (fractional)
Ho1 0.0345 0.4086 0.2756  1 Co 2.58
Ho2 0.2210 0.9659 0.7235  1 Co 2.58
Ho3 0.4080 0.7804 0.2761  1 Co 2.58
Ho4 0.5920 0.2196 0.7239  1 Co 2.58
Ho5 0.7790 0.0341 0.2765  1 Co 2.58
Ho6 0.9655 0.5914 0.7244  1 Co 2.58
Co1 0.0000 0.0000 0.5000  6 Ho 2.58
Bi1 0.5000 0.5000 0.0000  6 Ho 3.09

Computed properties:
space group: P-1 (2)
energy of formation: -0.75 eV per formula unit
density: 8.165 g/cm3
spin magnetization: 0.000 μB per atom

=====

Material: PuUAsN2
Method: DFT, PBE
State: relaxed

abc: 3.7872 3.7872 11.7531
angles: 90.00 90.00 90.00
With the nearest neighbours (Å) after each atom.
Element x y z (fractional)
Pu1 0.0000 0.0000 0.0000  4 N 2.29
Pu2 0.5000 0.5000 0.5000  4 N 2.29
U1 0.0000 0.0000 0.2992  4 N 2.17
U2 0.5000 0.5000 0.7992  4 N 2.17
As1 0.0000 0.0000 0.6498  4 U 3.20, 4 Pu 3.20, 4 N 3.40
As2 0.5000 0.5000 0.1498  4 U 3.20, 4 Pu 3.20, 4 N 3.40
N1 0.0000 0.5000 0.3900  2 U 2.17, 2 Pu 2.29
N2 0.0000 0.5000 0.8900  2 U 2.17, 2 Pu 2.29
N3 0.5000 0.0000 0.3900  2 U 2.17, 2 Pu 2.29
N4 0.5000 0.0000 0.8900  2 U 2.17, 2 Pu 2.29

Computed properties:
space group: I4mm (107)
density: 11.524 g/cm3
formation energy (no corrections): -1241.4 meV/atom
spin magnetization: 1.000 μB per atom